Record 1
The following is a DFT calculation (GGA-PBE) of crystalline Pa2ReHg2 at its relaxed geometry.

Summary:
DFT formation energy in meV per atom: -76
Space-group type: No. 139
M_tot in Bohr magnetons per cell: 0.00

a b c (Å): 11.1425 11.1425 11.1425
angles (deg): 163.32 163.32 23.68
Closest atoms and distances in Å follow each position.
Atoms (fractional coordinates):
Pa: 0.0852 0.0852 0.0000  4 Re 2.95, 4 Pa 3.23
Pa: 0.9148 0.9148 0.0000  4 Re 2.95, 4 Pa 3.23
Re: 0.5000 0.5000 0.0000  8 Pa 2.95, 4 Re 3.23
Hg: 0.3022 0.3022 0.0000  8 Hg 3.23, 4 Pa 3.35
Hg: 0.6978 0.6978 0.0000  8 Hg 3.23, 4 Pa 3.35


Record 2
The following is a DFT calculation (GGA-PBE) of crystalline PaHgRh2 at its relaxed geometry.

Summary:
DFT formation energy in meV per atom: -493
E above lowest polymorph in kJ/mol of atoms: 0.00
Space-group type: No. 225
M_tot in Bohr magnetons per cell: 0.00

a b c (Å): 4.7513 4.7513 4.7513
angles (deg): 60.00 60.00 60.00
Closest atoms and distances in Å follow each position.
Atoms (fractional coordinates):
Pa: 0.0000 0.0000 0.0000  8 Rh 2.91
Hg: 0.5000 0.5000 0.5000  8 Rh 2.91
Rh: 0.2500 0.2500 0.2500  4 Hg 2.91, 4 Pa 2.91
Rh: 0.7500 0.7500 0.7500  4 Hg 2.91, 4 Pa 2.91